1.
Here is a relaxed NaPaS2 crystal from the Alexandria database. Energies are from PBE.

## Properties
total moment: 0.9 μB per formula unit
Fermi-level density of states: 4.6 states/eV/cell
raw formation energy: -1.33 eV/atom

Geometry as CIF:
```
data_NaPaS2
_chemical_formula_sum 'Na1 Pa1 S2'
_cell_length_a 3.425
_cell_length_b 3.425
_cell_length_c 7.111
_cell_angle_alpha 90.00
_cell_angle_beta 90.00
_cell_angle_gamma 90.00
_symmetry_space_group_name_H-M 'P 4/m m m'
_symmetry_Int_Tables_number 123
_symmetry_space_group_name_Hall '-P 4 2'
loop_
_atom_site_label
_atom_site_type_symbol
_atom_site_fract_x
_atom_site_fract_y
_atom_site_fract_z
Na1 Na 0.000 0.000 0.000
Pa1 Pa 0.000 0.000 0.500
S1 S 0.500 0.500 0.279
```

2.
Here is a relaxed Na4PaS4 crystal from the Alexandria database. Energies are from PBE.

## Properties
total moment: 1.0 μB per formula unit
raw formation energy: -1.13 eV/atom

Geometry as CIF:
```
data_Na4PaS4
_chemical_formula_sum 'Na8 Pa2 S8'
_cell_length_a 6.908
_cell_length_b 6.908
_cell_length_c 11.993
_cell_angle_alpha 90.00
_cell_angle_beta 90.00
_cell_angle_gamma 90.00
_symmetry_space_group_name_H-M 'I -4 2 m'
_symmetry_Int_Tables_number 121
_symmetry_space_group_name_Hall 'I -4 2'
loop_
_atom_site_label
_atom_site_type_symbol
_atom_site_fract_x
_atom_site_fract_y
_atom_site_fract_z
Na1 Na 0.000 0.000 0.202
Na2 Na 0.000 0.500 0.000
Pa1 Pa 0.000 0.000 0.500
S1 S 0.219 0.219 0.619
```

3.
Here is a relaxed NaPa3S7 crystal from the Alexandria database. Energies are from PBE.

## Properties
total moment: 2.1 μB per formula unit
Fermi-level density of states: 23.7 states/eV/cell
raw formation energy: -1.50 eV/atom

Geometry as CIF:
```
data_NaPa3S7
_chemical_formula_sum 'Na2 Pa6 S14'
_cell_length_a 8.827
_cell_length_b 9.679
_cell_length_c 7.091
_cell_angle_alpha 90.00
_cell_angle_beta 113.51
_cell_angle_gamma 90.00
_symmetry_space_group_name_H-M 'C 1 2/m 1'
_symmetry_Int_Tables_number 12
loop_
_symmetry_equiv_pos_as_xyz
'x,y,z'
'-x,-y,-z'
'-x,y,-z'
'x,-y,z'
'x+1/2,y+1/2,z'
'-x+1/2,-y+1/2,-z'
'-x+1/2,y+1/2,-z'
'x+1/2,-y+1/2,z'
loop_
_atom_site_label
_atom_site_type_symbol
_atom_site_fract_x
_atom_site_fract_y
_atom_site_fract_z
Na1 Na 0.000 0.000 0.000
Pa1 Pa 0.000 0.273 0.500
Pa2 Pa 0.000 0.500 0.000
S1 S 0.000 0.000 0.500
S2 S 0.151 0.500 0.744
S3 S 0.165 0.292 0.248
```

4.
Here is a relaxed Na5PaS4 crystal from the Alexandria database. Energies are from PBE.

## Properties
total moment: 0.7 μB per formula unit
Fermi-level density of states: 9.6 states/eV/cell
raw formation energy: -1.14 eV/atom

Geometry as CIF:
```
data_Na5PaS4
_chemical_formula_sum 'Na10 Pa2 S8'
_cell_length_a 17.203
_cell_length_b 4.065
_cell_length_c 7.971
_cell_angle_alpha 90.00
_cell_angle_beta 101.55
_cell_angle_gamma 90.00
_symmetry_space_group_name_H-M 'C 1 2/m 1'
_symmetry_Int_Tables_number 12
loop_
_symmetry_equiv_pos_as_xyz
'x,y,z'
'-x,-y,-z'
'-x,y,-z'
'x,-y,z'
'x+1/2,y+1/2,z'
'-x+1/2,-y+1/2,-z'
'-x+1/2,y+1/2,-z'
'x+1/2,-y+1/2,z'
loop_
_atom_site_label
_atom_site_type_symbol
_atom_site_fract_x
_atom_site_fract_y
_atom_site_fract_z
Na1 Na 0.000 0.000 0.000
Na2 Na 0.169 0.500 0.822
Na3 Na 0.175 0.500 0.354
Pa1 Pa 0.000 0.000 0.500
S1 S 0.003 0.500 0.262
S2 S 0.157 0.000 0.580
```

5.
Here is a relaxed NaPaS4 crystal from the Alexandria database. Energies are from PBE.

## Properties
total moment: 0.0 μB per formula unit
raw formation energy: -1.02 eV/atom

Geometry as CIF:
```
data_NaPaS4
_chemical_formula_sum 'Na1 Pa1 S4'
_cell_length_a 5.069
_cell_length_b 4.262
_cell_length_c 7.864
_cell_angle_alpha 90.00
_cell_angle_beta 98.98
_cell_angle_gamma 90.00
_symmetry_space_group_name_H-M 'P 1 2/m 1'
_symmetry_Int_Tables_number 10
loop_
_symmetry_equiv_pos_as_xyz
'x,y,z'
'-x,-y,-z'
'-x,y,-z'
'x,-y,z'
loop_
_atom_site_label
_atom_site_type_symbol
_atom_site_fract_x
_atom_site_fract_y
_atom_site_fract_z
Na1 Na 0.000 0.000 0.000
Pa1 Pa 0.000 0.500 0.500
S1 S 0.197 0.500 0.804
S2 S 0.322 0.000 0.410
```

6.
Here is a relaxed Na2Pa2S5 crystal from the Alexandria database. Energies are from PBE.

## Properties
total moment: 2.0 μB per formula unit
Fermi-level density of states: 16.8 states/eV/cell
raw formation energy: -1.41 eV/atom
energy above the most stable polymorph in this dataset: 0.0000 eV/atom

Geometry as CIF:
```
data_Na2Pa2S5
_chemical_formula_sum 'Na4 Pa4 S10'
_cell_length_a 5.511
_cell_length_b 16.488
_cell_length_c 5.464
_cell_angle_alpha 90.00
_cell_angle_beta 90.00
_cell_angle_gamma 90.00
_symmetry_space_group_name_H-M 'C m m m'
_symmetry_Int_Tables_number 65
_symmetry_space_group_name_Hall '-C 2 2'
loop_
_atom_site_label
_atom_site_type_symbol
_atom_site_fract_x
_atom_site_fract_y
_atom_site_fract_z
Na1 Na 0.000 0.158 0.000
Pa1 Pa 0.000 0.342 0.500
S1 S 0.000 0.172 0.500
S2 S 0.000 0.339 0.000
S3 S 0.000 0.500 0.500
```